# 1
DFT (GGA-PBE) results for HfVFeTc2 after structural relaxation.

Values from the calculation:
- M_tot: 0.000 μB per atom
- DOS(E_F): 6.38 states/eV/cell
- Calculated formation energy: 613 meV/atom
- Total energy: -45.20 eV for the cell shown

Cell lengths 4.493, 4.168, 4.493 Å; angles 90.00, 90.00, 90.00 degrees
Element x y z (fractional)
Tc  0.000  0.000  0.500
Tc  0.500  0.000  0.000
Hf  0.500  0.500  0.500
Fe  0.000  0.000  0.000
V  0.000  0.500  0.000

---

# 2
DFT (GGA-PBE) results for HfFeTe after structural relaxation.

Values from the calculation:
- M_tot: 0.268 μB per atom
- DOS(E_F): 4.86 states/eV/cell
- Raw formation energy: -420.8 meV/atom
- Total energy: -45.64 eV for the cell shown

Cell lengths 3.700, 3.728, 9.789 Å; angles 79.02, 90.00, 90.00 degrees
Last column: magnetic moment on the atom in μB.
Element x y z (fractional)
Fe  0.750  0.470  0.059  0.86
Fe  0.250  0.530  0.941  0.86
Hf  0.750  0.076  0.848  -0.06
Hf  0.250  0.924  0.152  -0.06
Te  0.750  0.336  0.327  0.00
Te  0.250  0.664  0.673  0.00

---

# 3
DFT (GGA-PBE) results for Hf2FeTe after structural relaxation.

Values from the calculation:
- M_tot: 0.000 μB per atom
- DOS(E_F): 0.32 states/eV/cell
- Raw formation energy: 448.8 meV/atom
- Total energy: -59.43 eV for the cell shown

Cell lengths 6.055, 6.055, 7.297 Å; angles 65.49, 65.49, 90.00 degrees
Element x y z (fractional)
Hf  0.539  0.125  0.250
Hf  0.211  0.625  0.250
Hf  0.875  0.789  0.750
Hf  0.375  0.461  0.750
Te  0.750  0.250  0.500
Te  0.000  0.000  0.000
Fe  0.250  0.750  0.500
Fe  0.500  0.500  0.000

---

# 4
DFT (GGA-PBE) results for HfFe3Te after structural relaxation.

Values from the calculation:
- M_tot: 0.963 μB per atom
- DOS(E_F): 7.74 states/eV/cell
- Raw formation energy: 1021.0 meV/atom
- Total energy: -33.38 eV for the cell shown

Cell lengths 4.581, 4.581, 4.581 Å; angles 90.00, 90.00, 90.00 degrees
Last column: magnetic moment on the atom in μB.
Element x y z (fractional)
Fe  0.500  0.000  0.000  2.10
Fe  0.000  0.000  0.500  1.91
Fe  0.000  0.500  0.000  2.00
Hf  0.500  0.500  0.500  -0.63
Te  0.000  0.000  0.000  -0.06

---

# 5
DFT (GGA-PBE) results for Hf2Fe2Te after structural relaxation.

Values from the calculation:
- M_tot: 0.576 μB per atom
- DOS(E_F): 12.19 states/eV/cell
- Raw formation energy: -169.9 meV/atom
- Total energy: -81.65 eV for the cell shown

Cell lengths 6.952, 6.952, 3.611 Å; angles 90.00, 90.00, 90.00 degrees
Last column: magnetic moment on the atom in μB.
Element x y z (fractional)
Te  0.500  0.500  0.000  0.02
Te  0.000  0.000  0.000  0.02
Fe  0.883  0.617  0.000  1.59
Fe  0.617  0.117  0.000  1.63
Fe  0.117  0.383  0.000  1.59
Fe  0.383  0.883  0.000  1.63
Hf  0.328  0.172  0.500  -0.17
Hf  0.828  0.328  0.500  -0.16
Hf  0.672  0.828  0.500  -0.17
Hf  0.172  0.672  0.500  -0.16

---

# 6
DFT (GGA-PBE) results for HfFe3Te after structural relaxation.

Values from the calculation:
- M_tot: 1.167 μB per atom
- DOS(E_F): 6.65 states/eV/cell
- Raw formation energy: 1348.0 meV/atom
- Total energy: -31.74 eV for the cell shown

Cell lengths 4.678, 4.678, 4.678 Å; angles 90.00, 90.00, 90.00 degrees
Last column: magnetic moment on the atom in μB.
Element x y z (fractional)
Fe  0.000  0.000  0.500  2.21
Fe  0.500  0.000  0.000  2.01
Fe  0.000  0.500  0.000  2.24
Te  0.500  0.500  0.500  0.04
Hf  0.000  0.000  0.000  -0.64

---

# 7
DFT (GGA-PBE) results for Hf8FeTe2 after structural relaxation.

Values from the calculation:
- M_tot: 0.000 μB per atom
- DOS(E_F): 8.70 states/eV/cell
- Raw formation energy: -65.7 meV/atom
- Total energy: -95.10 eV for the cell shown

Cell lengths 6.696, 6.904, 6.904 Å; angles 53.00, 78.61, 78.61 degrees
Element x y z (fractional)
Hf  0.218  0.535  0.535
Hf  0.867  0.412  0.924
Hf  0.713  0.902  0.902
Hf  0.133  0.588  0.076
Hf  0.287  0.098  0.098
Hf  0.782  0.465  0.465
Hf  0.867  0.924  0.412
Hf  0.133  0.076  0.588
Te  0.516  0.312  0.312
Te  0.484  0.688  0.688
Fe  0.000  0.000  0.000

---

# 8
DFT (GGA-PBE) results for Hf6FeTe3 after structural relaxation.

Values from the calculation:
- M_tot: 0.000 μB per atom
- DOS(E_F): 16.09 states/eV/cell
- Raw formation energy: -396.3 meV/atom
- Total energy: -163.14 eV for the cell shown

Cell lengths 3.600, 11.254, 13.333 Å; angles 123.26, 90.00, 90.00 degrees
Element x y z (fractional)
Te  0.750  0.771  0.457
Te  0.250  0.442  0.236
Te  0.250  0.229  0.543
Te  0.750  0.558  0.764
Te  0.750  0.143  0.224
Te  0.250  0.857  0.776
Hf  0.250  0.144  0.045
Hf  0.250  0.374  0.417
Hf  0.250  0.712  0.255
Hf  0.750  0.992  0.396
Hf  0.250  0.581  0.953
Hf  0.250  0.904  0.162
Hf  0.750  0.856  0.955
Hf  0.750  0.096  0.838
Hf  0.750  0.419  0.047
Hf  0.750  0.626  0.583
Hf  0.250  0.008  0.604
Hf  0.750  0.288  0.745
Fe  0.250  0.287  0.879
Fe  0.750  0.713  0.121

---

# 9
DFT (GGA-PBE) results for Hf5Fe2Te2 after structural relaxation.

Values from the calculation:
- M_tot: 0.000 μB per atom
- DOS(E_F): 15.83 states/eV/cell
- Raw formation energy: -435.4 meV/atom
- Total energy: -153.79 eV for the cell shown

Cell lengths 7.131, 7.186, 8.156 Å; angles 90.00, 64.07, 90.00 degrees
Element x y z (fractional)
Hf  0.547  0.842  0.217
Hf  0.000  0.000  0.000
Hf  0.953  0.342  0.783
Hf  0.764  0.842  0.783
Hf  0.736  0.342  0.217
Hf  0.500  0.500  0.000
Hf  0.047  0.658  0.217
Hf  0.453  0.158  0.783
Hf  0.264  0.658  0.783
Hf  0.236  0.158  0.217
Fe  0.137  0.364  0.000
Fe  0.637  0.136  0.000
Fe  0.363  0.864  0.000
Fe  0.863  0.636  0.000
Te  0.709  0.500  0.583
Te  0.209  0.000  0.583
Te  0.791  0.000  0.417
Te  0.291  0.500  0.417

---

# 10
DFT (GGA-PBE) results for HfFe2Te after structural relaxation.

Values from the calculation:
- M_tot: 1.027 μB per atom
- DOS(E_F): 7.01 states/eV/cell
- Raw formation energy: 364.0 meV/atom
- Total energy: -57.13 eV for the cell shown

Cell lengths 4.025, 4.025, 9.525 Å; angles 77.80, 77.80, 90.00 degrees
Last column: magnetic moment on the atom in μB.
Element x y z (fractional)
Hf  0.000  0.000  0.000  -0.34
Hf  0.750  0.250  0.500  -0.34
Te  0.500  0.500  0.000  0.00
Te  0.250  0.750  0.500  0.00
Fe  0.624  0.125  0.250  2.30
Fe  0.875  0.874  0.750  2.26
Fe  0.375  0.376  0.750  2.27
Fe  0.126  0.625  0.250  2.30

---

# 11
DFT (GGA-PBE) results for HfThFe after structural relaxation.

Values from the calculation:
- M_tot: 0.000 μB per atom
- DOS(E_F): 11.24 states/eV/cell
- Calculated formation energy: -113 meV/atom
- Total energy: -104.70 eV for the cell shown

Cell lengths 6.399, 6.951, 6.626 Å; angles 90.00, 90.00, 117.40 degrees
Element x y z (fractional)
Hf  0.281  0.062  0.250
Hf  0.781  0.062  0.250
Hf  0.219  0.938  0.750
Hf  0.719  0.938  0.750
Th  0.804  0.608  0.386
Th  0.196  0.392  0.614
Th  0.304  0.608  0.114
Th  0.696  0.392  0.886
Fe  0.893  0.785  0.049
Fe  0.393  0.785  0.451
Fe  0.107  0.215  0.951
Fe  0.607  0.215  0.549

---

# 12
DFT (GGA-PBE) results for HfThFe after structural relaxation.

Values from the calculation:
- M_tot: 0.262 μB per atom
- DOS(E_F): 4.36 states/eV/cell
- Calculated formation energy: 55 meV/atom
- Total energy: -25.67 eV for the cell shown

Cell lengths 3.270, 3.270, 6.447 Å; angles 104.69, 104.69, 90.00 degrees
Last column: magnetic moment on the atom in μB.
Element x y z (fractional)
Th  0.021  0.021  0.042  -0.05
Hf  0.294  0.294  0.589  -0.12
Fe  0.685  0.685  0.369  0.99